Below is crystalline TaZn2P at its relaxed geometry, with properties calculated at the GGA-PBE level.

Computed properties:
DFT formation energy	0.08	eV/atom
total magnetic moment	0.00	μB per formula unit

a b c (Å): 2.8511 2.8511 8.6613
angles (deg): 90.00 90.00 105.44
Closest atoms and distances in Å follow each position.
Atoms (fractional coordinates):
Ta 0.5000 0.5000 0.2565  2 P 2.50, 2 Zn 2.76
Zn 0.0000 0.0000 0.0078  6 Zn 2.69-2.85, 2 Ta 2.76
Zn 0.5000 0.5000 0.7698  6 Zn 2.69-2.85
P 0.0000 0.0000 0.4659  2 Ta 2.50